<w>
First-principles (GGA-PBE) data for crystalline LiSOF2 at its relaxed geometry, as listed in Alexandria via LeMat-Bulk.

a = 4.413 Å, b = 4.413 Å, c = 3.473 Å
α = 90.00°, β = 90.00°, γ = 90.00°
Atoms (fractional coordinates):
F 0.500 0.000 0.000
F 0.000 0.500 0.000
O 0.000 0.000 0.500
Li 0.500 0.500 0.500
S 0.000 0.000 0.000

Summary:
Space-group type = P4/mmm, No. 123

---

<x>
First-principles (GGA-PBE) data for crystalline LiSOF2 at its relaxed geometry, as listed in Alexandria via LeMat-Bulk.

a = 3.481 Å, b = 3.481 Å, c = 4.055 Å
α = 90.00°, β = 90.00°, γ = 90.00°
Last column: magnetic moment on the atom in μB.
Atoms (fractional coordinates):
S 0.500 0.500 0.500  0.38
O 0.000 0.000 0.500  0.05
F 0.000 0.500 0.000  0.04
F 0.500 0.000 0.000  0.04
Li 0.000 0.000 0.000  0.00

Summary:
Space-group type = P4/mmm, No. 123

---

Relative to the most stable structure, the computed energies are <w> 0; <x> 605, all in meV/atom.

---

<w>
First-principles (GGA-PBE) data for crystalline LiSbOF2 at its relaxed geometry, as listed in Alexandria via LeMat-Bulk.

a = 3.568 Å, b = 3.568 Å, c = 4.173 Å
α = 90.00°, β = 90.00°, γ = 90.00°
Atoms (fractional coordinates):
O 0.000 0.000 0.500
Sb 0.500 0.500 0.500
F 0.000 0.500 0.000
F 0.500 0.000 0.000
Li 0.000 0.000 0.000

Summary:
Space-group type = P4/mmm, No. 123

---

<x>
First-principles (GGA-PBE) data for crystalline LiSbOF2 at its relaxed geometry, as listed in Alexandria via LeMat-Bulk.

a = 4.535 Å, b = 4.535 Å, c = 4.277 Å
α = 90.00°, β = 90.00°, γ = 90.00°
Atoms (fractional coordinates):
Li 0.500 0.500 0.500
F 0.500 0.000 0.000
F 0.000 0.500 0.000
O 0.000 0.000 0.500
Sb 0.000 0.000 0.000

Summary:
Space-group type = P4/mmm, No. 123

---

Relative to the most stable structure, the computed energies are <w> 0; <x> 73, all in meV/atom.

---

<w>
First-principles (GGA-PBE) data for crystalline LiSnOF2 at its relaxed geometry, as listed in Alexandria via LeMat-Bulk.

a = 4.484 Å, b = 4.484 Å, c = 4.131 Å
α = 90.00°, β = 90.00°, γ = 90.00°
Atoms (fractional coordinates):
O 0.000 0.000 0.500
Li 0.500 0.500 0.500
Sn 0.000 0.000 0.000
F 0.000 0.500 0.000
F 0.500 0.000 0.000

Summary:
Space-group type = P4/mmm, No. 123

---

<x>
First-principles (GGA-PBE) data for crystalline LiSnOF2 at its relaxed geometry, as listed in Alexandria via LeMat-Bulk.

a = 3.559 Å, b = 3.559 Å, c = 4.187 Å
α = 90.00°, β = 90.00°, γ = 90.00°
Atoms (fractional coordinates):
Li 0.000 0.000 0.000
Sn 0.500 0.500 0.500
F 0.500 0.000 0.000
F 0.000 0.500 0.000
O 0.000 0.000 0.500

Summary:
Space-group type = P4/mmm, No. 123

---

Relative to the most stable structure, the computed energies are <w> 0; <x> 52, all in meV/atom.

---

<w>
First-principles (GGA-PBE) data for crystalline LiTiOF2 at its relaxed geometry, as listed in Alexandria via LeMat-Bulk.

a = 3.368 Å, b = 3.988 Å, c = 3.368 Å
α = 90.00°, β = 90.00°, γ = 90.00°
Last column: magnetic moment on the atom in μB.
Atoms (fractional coordinates):
F 0.500 0.000 0.000  -0.01
F 0.000 0.000 0.500  -0.01
O 0.000 0.500 0.000  -0.08
Ti 0.500 0.500 0.500  1.00
Li 0.000 0.000 0.000  0.00

Summary:
Space-group type = P4/mmm, No. 123

---

<x>
First-principles (GGA-PBE) data for crystalline LiTiOF2 at its relaxed geometry, as listed in Alexandria via LeMat-Bulk.

a = 4.072 Å, b = 4.072 Å, c = 3.838 Å
α = 90.00°, β = 90.00°, γ = 90.00°
Last column: magnetic moment on the atom in μB.
Atoms (fractional coordinates):
O 0.000 0.000 0.500  -0.05
F 0.500 0.000 0.000  0.01
F 0.000 0.500 0.000  0.01
Ti 0.000 0.000 0.000  0.93
Li 0.500 0.500 0.500  0.00

Summary:
Space-group type = P4/mmm, No. 123

---

Relative to the most stable structure, the computed energies are <w> 592; <x> 0, all in meV/atom.

---

<w>
First-principles (GGA-PBE) data for crystalline LiTlOF2 at its relaxed geometry, as listed in Alexandria via LeMat-Bulk.

a = 4.577 Å, b = 4.577 Å, c = 4.094 Å
α = 90.00°, β = 90.00°, γ = 90.00°
Atoms (fractional coordinates):
F 0.500 0.000 0.000
F 0.000 0.500 0.000
Tl 0.000 0.000 0.000
O 0.000 0.000 0.500
Li 0.500 0.500 0.500

Summary:
Space-group type = P4/mmm, No. 123

---

<x>
First-principles (GGA-PBE) data for crystalline LiTlOF2 at its relaxed geometry, as listed in Alexandria via LeMat-Bulk.

a = 3.624 Å, b = 3.624 Å, c = 4.174 Å
α = 90.00°, β = 90.00°, γ = 90.00°
Atoms (fractional coordinates):
Tl 0.500 0.500 0.500
O 0.000 0.000 0.500
F 0.500 0.000 0.000
F 0.000 0.500 0.000
Li 0.000 0.000 0.000

Summary:
Space-group type = P4/mmm, No. 123

---

Relative to the most stable structure, the computed energies are <w> 51; <x> 0, all in meV/atom.